1.
# CeSm2Tm3Te6 PBE optimized geometry
# Uncorrected formation energy (eV/atom): -1.283
# DOS at the Fermi energy (states/eV/cell): 23.47
data_CeSm2Tm3Te6
_chemical_formula_sum 'Ce2 Sm4 Tm6 Te12'
_cell_length_a 19.257
_cell_length_b 4.321
_cell_length_c 8.891
_cell_angle_alpha 90.00
_cell_angle_beta 105.29
_cell_angle_gamma 90.00
_symmetry_space_group_name_H-M 'C 1 2/m 1'
_symmetry_Int_Tables_number 12
loop_
_symmetry_equiv_pos_as_xyz
'x,y,z'
'-x,-y,-z'
'-x,y,-z'
'x,-y,z'
'x+1/2,y+1/2,z'
'-x+1/2,-y+1/2,-z'
'-x+1/2,y+1/2,-z'
'x+1/2,-y+1/2,z'
loop_
_atom_site_label
_atom_site_type_symbol
_atom_site_fract_x
_atom_site_fract_y
_atom_site_fract_z
_atom_site_occupancy
Ce1 Ce 0.000 0.000 0.000 1
Sm1 Sm 0.165 0.500 0.331 1
Tm1 Tm 0.000 0.000 0.500 1
Tm2 Tm 0.167 0.500 0.834 1
Te1 Te 0.003 0.500 0.741 1
Te2 Te 0.165 0.000 0.590 1
Te3 Te 0.171 0.000 0.077 1

---

2.
# Li2Co PBE optimized geometry
# Formation energy from the elements (eV per formula unit): 0.535
# DOS at the Fermi energy (states/eV/cell): 3.38
data_Li2Co
_chemical_formula_sum 'Li4 Co2'
_cell_length_a 2.465
_cell_length_b 2.465
_cell_length_c 13.165
_cell_angle_alpha 90.00
_cell_angle_beta 90.00
_cell_angle_gamma 90.00
_symmetry_space_group_name_H-M 'I 4/m m m'
_symmetry_Int_Tables_number 139
_symmetry_space_group_name_Hall '-I 4 2'
loop_
_atom_site_label
_atom_site_type_symbol
_atom_site_fract_x
_atom_site_fract_y
_atom_site_fract_z
_atom_site_occupancy
Li1 Li 0.000 0.000 0.152 1
Co1 Co 0.000 0.000 0.500 1

---

3.
# PrThPd PBE optimized geometry
# Formation energy from the elements (eV per formula unit): -1.279
# Energy above the most stable polymorph in this dataset (meV/atom): 15
# DOS at the Fermi energy (states/eV/cell): 7.98
data_PrThPd
_chemical_formula_sum 'Pr2 Th2 Pd2'
_cell_length_a 3.742
_cell_length_b 3.742
_cell_length_c 11.830
_cell_angle_alpha 90.00
_cell_angle_beta 90.00
_cell_angle_gamma 90.00
_symmetry_space_group_name_H-M 'I 4 m m'
_symmetry_Int_Tables_number 107
_symmetry_space_group_name_Hall 'I 4 -2'
loop_
_atom_site_label
_atom_site_type_symbol
_atom_site_fract_x
_atom_site_fract_y
_atom_site_fract_z
_atom_site_occupancy
Pr1 Pr 0.000 0.000 0.000 1
Th1 Th 0.000 0.000 0.296 1
Pd1 Pd 0.000 0.000 0.679 1

---

4.
# LiHo2Zn4Ga3 PBE optimized geometry
# Formation energy from the elements (eV per formula unit): -3.790
# DOS at the Fermi energy (states/eV/cell): 4.16
data_LiHo2Zn4Ga3
_chemical_formula_sum 'Li1 Ho2 Zn4 Ga3'
_cell_length_a 4.164
_cell_length_b 4.164
_cell_length_c 10.543
_cell_angle_alpha 90.00
_cell_angle_beta 90.00
_cell_angle_gamma 90.00
_symmetry_space_group_name_H-M 'P -4 m 2'
_symmetry_Int_Tables_number 115
loop_
_symmetry_equiv_pos_as_xyz
'x,y,z'
'y,-x,-z'
'-x,-y,z'
'-y,x,-z'
'-x,y,z'
'-y,-x,-z'
'x,-y,z'
'y,x,-z'
loop_
_atom_site_label
_atom_site_type_symbol
_atom_site_fract_x
_atom_site_fract_y
_atom_site_fract_z
_atom_site_occupancy
Li1 Li 0.000 0.000 0.000 1
Ho1 Ho 0.000 0.500 0.746 1
Zn1 Zn 0.000 0.000 0.500 1
Zn2 Zn 0.000 0.500 0.130 1
Zn3 Zn 0.500 0.500 0.500 1
Ga1 Ga 0.000 0.500 0.359 1
Ga2 Ga 0.500 0.500 0.000 1

---

5.
# LiScPt2 PBE optimized geometry
# Formation energy from the elements (eV per formula unit): -2.406
# Energy above the most stable polymorph in this dataset (meV/atom): 401
# DOS at the Fermi energy (states/eV/cell): 9.21
data_LiScPt2
_chemical_formula_sum 'Li3 Sc3 Pt6'
_cell_length_a 2.9296
_cell_length_b 2.9296
_cell_length_c 26.1490
_cell_angle_alpha 90.00
_cell_angle_beta 90.00
_cell_angle_gamma 120.00
_symmetry_space_group_name_H-M 'R -3 m'
_symmetry_Int_Tables_number 166
_symmetry_space_group_name_Hall '-R 3 2"'
loop_
_atom_site_label
_atom_site_type_symbol
_atom_site_fract_x
_atom_site_fract_y
_atom_site_fract_z
_atom_site_occupancy
Li1 Li 0.0000 0.0000 0.0000 1
Sc1 Sc 0.0000 0.0000 0.5000 1
Pt1 Pt 0.0000 0.0000 0.2517 1

---

6.
# CuIr2Au PBE optimized geometry
# Formation energy from the elements (eV per formula unit): 0.854
# Energy above the most stable polymorph in this dataset (meV/atom): 96
# DOS at the Fermi energy (states/eV/cell): 10.02
data_CuIr2Au
_chemical_formula_sum 'Cu2 Ir4 Au2'
_cell_length_a 9.241
_cell_length_b 2.766
_cell_length_c 4.731
_cell_angle_alpha 90.00
_cell_angle_beta 101.46
_cell_angle_gamma 90.00
_symmetry_space_group_name_H-M 'C 1 2/m 1'
_symmetry_Int_Tables_number 12
loop_
_symmetry_equiv_pos_as_xyz
'x,y,z'
'-x,-y,-z'
'-x,y,-z'
'x,-y,z'
'x+1/2,y+1/2,z'
'-x+1/2,-y+1/2,-z'
'-x+1/2,y+1/2,-z'
'x+1/2,-y+1/2,z'
loop_
_atom_site_label
_atom_site_type_symbol
_atom_site_fract_x
_atom_site_fract_y
_atom_site_fract_z
_atom_site_occupancy
Cu1 Cu 0.000 0.000 0.000 1
Ir1 Ir 0.240 0.500 0.235 1
Au1 Au 0.000 0.500 0.500 1

---

7.
# KMg3Be PBE optimized geometry
# Formation energy from the elements (eV per formula unit): 7.413
# Energy above the most stable polymorph in this dataset (meV/atom): 1211
# DOS at the Fermi energy (states/eV/cell): 3.79
data_KMg3Be
_chemical_formula_sum 'K1 Mg3 Be1'
_cell_length_a 6.549
_cell_length_b 6.549
_cell_length_c 6.549
_cell_angle_alpha 90.00
_cell_angle_beta 90.00
_cell_angle_gamma 90.00
_symmetry_space_group_name_H-M 'P m -3 m'
_symmetry_Int_Tables_number 221
_symmetry_space_group_name_Hall '-P 4 2 3'
loop_
_atom_site_label
_atom_site_type_symbol
_atom_site_fract_x
_atom_site_fract_y
_atom_site_fract_z
_atom_site_occupancy
K1 K 0.000 0.000 0.000 1
Mg1 Mg 0.000 0.000 0.500 1
Be1 Be 0.500 0.500 0.500 1

---

8.
# Tb2HgO PBE optimized geometry
# Uncorrected formation energy (eV/atom): -1.548
# Energy above the most stable polymorph in this dataset (meV/atom): 0
# DOS at the Fermi energy (states/eV/cell): 9.36
data_Tb2HgO
_chemical_formula_sum 'Tb6 Hg3 O3'
_cell_length_a 3.5967
_cell_length_b 3.5967
_cell_length_c 22.3788
_cell_angle_alpha 90.00
_cell_angle_beta 90.00
_cell_angle_gamma 120.00
_symmetry_space_group_name_H-M 'R -3 m'
_symmetry_Int_Tables_number 166
_symmetry_space_group_name_Hall '-R 3 2"'
loop_
_atom_site_label
_atom_site_type_symbol
_atom_site_fract_x
_atom_site_fract_y
_atom_site_fract_z
_atom_site_occupancy
Tb1 Tb 0.0000 0.0000 0.2258 1
Hg1 Hg 0.0000 0.0000 0.0000 1
O1 O 0.0000 0.0000 0.5000 1